[1]
KHg2Os | PBE | relaxed

The space group is Cm (No. 8) and the conventional cell measures 16.3504, 2.8684 and 4.7669 Å, with angles of 90.00, 106.93 and 90.00 degrees. Symmetry generates all atoms from K at (0.0000, 0.0000, 0.0000), Hg at (0.1816, 0.0000, 0.6827), Hg at (0.3516, 0.0000, 0.3520) and Os at (0.1963, 0.5000, 0.1974).

Its crystal system is monoclinic. Its energy above the most stable polymorph in this dataset is 0.00 kcal/mol of atoms. The calculation puts the energy of formation at 0.5812 eV/atom.

***

[2]
YTa2Tc | PBE | relaxed

The space group is C2/m (No. 12) and the conventional cell measures 5.5842, 9.7476 and 2.9419 Å, with angles of 90.00, 108.42 and 90.00 degrees. Symmetry generates all atoms from Y at (0.0000, 0.0000, 0.0000), Ta at (0.2500, 0.2500, 0.5000) and Tc at (0.0000, 0.5000, 0.0000).

Its crystal system is monoclinic. Its energy above the most stable polymorph in this dataset is 5.99 kcal/mol of atoms. The calculation puts the energy of formation at 0.3020 eV/atom.

***

[3]
Rb4Y | PBE | relaxed

The space group is Pm-3m (No. 221) and the conventional cell measures 7.7073, 7.7073 and 7.7073 Å, with angles of 90.00, 90.00 and 90.00 degrees. Symmetry generates all atoms from Rb at (0.0000, 0.0000, 0.0000), Rb at (0.0000, 0.5000, 0.5000) and Y at (0.5000, 0.5000, 0.5000).

Its crystal system is cubic. The calculation puts the energy of formation at 0.6845 eV/atom.

***

[4]
MgVCuNi | PBE | relaxed

The space group is F-43m (No. 216) and the conventional cell measures 5.9838, 5.9838 and 5.9838 Å, with angles of 90.00, 90.00 and 90.00 degrees. Symmetry generates all atoms from Mg at (0.0000, 0.0000, 0.0000), V at (0.0000, 0.0000, 0.5000), Cu at (0.2500, 0.2500, 0.7500) and Ni at (0.2500, 0.2500, 0.2500).

Its crystal system is cubic. The calculation puts the energy of formation at 0.0432 eV/atom.

***

[5]
In2FeSb | PBE | relaxed

The space group is Imm2 (No. 44) and the conventional cell measures 3.0944, 4.5686 and 12.8323 Å, with angles of 90.00, 90.00 and 90.00 degrees. Symmetry generates all atoms from In at (0.0000, 0.0000, 0.0000), In at (0.0000, 0.5000, 0.1745), Fe at (0.0000, 0.0000, 0.4884) and Sb at (0.0000, 0.5000, 0.8232).

Its crystal system is orthorhombic. The total energy is -4.33 eV per atom.

***

[6]
CdSb2Te2 | PBE | relaxed

The space group is P4/mbm (No. 127) and the conventional cell measures 8.6976, 8.6976 and 4.0035 Å, with angles of 90.00, 90.00 and 90.00 degrees. Symmetry generates all atoms from Cd at (0.0000, 0.0000, 0.0000), Sb at (0.1417, 0.3583, 0.5000) and Te at (0.1786, 0.6786, 0.0000).

Its crystal system is tetragonal. Its energy above the most stable polymorph in this dataset is 2.73 kcal/mol of atoms.

***

[7]
TiAlZnRe | PBE | relaxed

The space group is F-43m (No. 216) and the conventional cell measures 6.1915, 6.1915 and 6.1915 Å, with angles of 90.00, 90.00 and 90.00 degrees. Symmetry generates all atoms from Ti at (0.0000, 0.0000, 0.0000), Al at (0.0000, 0.0000, 0.5000), Zn at (0.2500, 0.2500, 0.2500) and Re at (0.2500, 0.2500, 0.7500).

Its crystal system is cubic. The calculation puts the energy of formation at -0.1942 eV/atom.

***

[8]
CrOs3N | PBE | relaxed

The space group is Pm-3m (No. 221) and the conventional cell measures 4.4272, 4.4272 and 4.4272 Å, with angles of 90.00, 90.00 and 90.00 degrees. Symmetry generates all atoms from Cr at (0.0000, 0.0000, 0.0000), Os at (0.0000, 0.0000, 0.5000) and N at (0.5000, 0.5000, 0.5000).

Its crystal system is cubic. Its energy above the most stable polymorph in this dataset is 55.95 kcal/mol of atoms.

***

[9]
Th2InN | PBE | relaxed

The space group is R-3m (No. 166, hexagonal axes) and the conventional cell measures 3.7175, 3.7175 and 24.4048 Å, with angles of 90.00, 90.00 and 120.00 degrees. Symmetry generates all atoms from Th at (0.0000, 0.0000, 0.2245), In at (0.0000, 0.0000, 0.0000) and N at (0.0000, 0.0000, 0.5000).

Its crystal system is trigonal. The total energy is -7.31 eV per atom.

***

[10]
TePtO2 | PBE | relaxed

The space group is R-3m (No. 166, hexagonal axes) and the conventional cell measures 3.3675, 3.3675 and 19.0603 Å, with angles of 90.00, 90.00 and 120.00 degrees. Symmetry generates all atoms from Te at (0.0000, 0.0000, 0.0000), Pt at (0.0000, 0.0000, 0.5000) and O at (0.0000, 0.0000, 0.1185).

Its crystal system is trigonal. The total energy is -4.94 eV per atom.

***

[11]
CoP2Se | PBE | relaxed

The space group is P4/mmm (No. 123) and the conventional cell measures 4.4170, 4.4170 and 2.9651 Å, with angles of 90.00, 90.00 and 90.00 degrees. Symmetry generates all atoms from Co at (0.0000, 0.0000, 0.0000), P at (0.0000, 0.5000, 0.5000) and Se at (0.5000, 0.5000, 0.0000).

Its crystal system is tetragonal. The total energy is -4.67 eV per atom.

***

[12]
Sr2CdTc | PBE | relaxed

The space group is P4mm (No. 99) and the conventional cell measures 3.7433, 3.7433 and 8.8425 Å, with angles of 90.00, 90.00 and 90.00 degrees. Symmetry generates all atoms from Sr at (0.0000, 0.0000, 0.0000), Sr at (0.5000, 0.5000, 0.4059), Cd at (0.5000, 0.5000, 0.7573) and Tc at (0.0000, 0.0000, 0.6444).

Its crystal system is tetragonal. The calculation puts the energy of formation at 0.4385 eV/atom.

***

no.,magnetic moment (μB per formula unit)
1,0.000
2,0.000
3,2.961
4,0.000
5,1.562
6,0.000
7,0.000
8,2.463
9,0.000
10,0.000
11,0.852
12,0.734